Entry 1:
DFT (GGA-PBE) results for a relaxed La3Er6Tm2Sc crystal.

**Calculated formation energy**: 0.04 eV per atom
**Space-group type**: C2/m, No. 12
**Size of the total moment**: 0.0 Bohr magnetons per cell

Unit cell a=6.144 b=6.144 c=11.715 alpha=95.02 beta=95.02 gamma=120.01
Fractional coordinates of all 12 atoms:
La (0.000, 0.000, 0.000)
La (0.333, 0.667, 0.000)
La (0.667, 0.333, 0.000)
Er (0.090, 0.421, 0.259)
Er (0.248, 0.248, 0.740)
Er (0.421, 0.090, 0.259)
Er (0.579, 0.910, 0.741)
Er (0.752, 0.752, 0.260)
Er (0.910, 0.579, 0.741)
Tm (0.167, 0.833, 0.500)
Tm (0.833, 0.167, 0.500)
Sc (0.500, 0.500, 0.500)

---

Entry 2:
DFT (GGA-PBE) results for a relaxed LaEr3TmSc crystal.

**Calculated formation energy**: 0.05 eV per atom
**Space-group type**: Cmcm, No. 63
**Size of the total moment**: 0.0 Bohr magnetons per cell

Unit cell a=7.836 b=7.836 c=9.974 alpha=90.00 beta=90.00 gamma=143.23
Fractional coordinates of all 12 atoms:
La (0.003, 0.997, 0.750)
La (0.997, 0.003, 0.250)
Er (0.169, 0.831, 0.001)
Er (0.169, 0.831, 0.499)
Er (0.329, 0.671, 0.750)
Er (0.671, 0.329, 0.250)
Er (0.831, 0.169, 0.501)
Er (0.831, 0.169, 0.999)
Tm (0.500, 0.500, 0.000)
Tm (0.500, 0.500, 0.500)
Sc (0.330, 0.670, 0.250)
Sc (0.670, 0.330, 0.750)

---

Entry 3:
DFT (GGA-PBE) results for a relaxed La6Er2TmSc crystal.

**Calculated formation energy**: 0.19 eV per atom
**Space-group type**: C2/m, No. 12
**Size of the total moment**: 0.0 Bohr magnetons per cell

Unit cell a=6.728 b=6.728 c=8.835 alpha=103.94 beta=103.94 gamma=63.65
Fractional coordinates of all 10 atoms:
La (0.100, 0.546, 0.203)
La (0.136, 0.136, 0.432)
La (0.454, 0.900, 0.797)
La (0.546, 0.100, 0.203)
La (0.864, 0.864, 0.568)
La (0.900, 0.454, 0.797)
Er (0.412, 0.412, 0.823)
Er (0.588, 0.588, 0.177)
Tm (0.000, 0.000, 0.000)
Sc (0.500, 0.500, 0.500)

---

Entry 4:
DFT (GGA-PBE) results for a relaxed LaEr5Tm2Sc crystal.

**Calculated formation energy**: 0.19 eV per atom
**Space-group type**: Cmc2_1, No. 36
**Size of the total moment**: 0.0 Bohr magnetons per cell

Unit cell a=10.185 b=10.185 c=10.273 alpha=90.00 beta=90.00 gamma=148.47
Fractional coordinates of all 18 atoms:
La (0.086, 0.914, 0.500)
La (0.914, 0.086, 0.000)
Er (0.020, 0.980, 0.789)
Er (0.123, 0.877, 0.073)
Er (0.203, 0.797, 0.759)
Er (0.225, 0.775, 0.375)
Er (0.483, 0.517, 0.074)
Er (0.517, 0.483, 0.574)
Er (0.775, 0.225, 0.875)
Er (0.797, 0.203, 0.259)
Er (0.877, 0.123, 0.573)
Er (0.980, 0.020, 0.289)
Tm (0.386, 0.614, 0.786)
Tm (0.389, 0.611, 0.366)
Tm (0.611, 0.389, 0.866)
Tm (0.614, 0.386, 0.286)
Sc (0.304, 0.696, 0.066)
Sc (0.696, 0.304, 0.566)

---

What is the size of the total moment in the first record? 0.0 Bohr magnetons per cell

---

size of the total moment of number 1 (La3Er6Tm2Sc)? 0.0 Bohr magnetons per cell

---

Among the records above, which one has the lowest calculated formation energy? La3Er6Tm2Sc